This record from Alexandria describes La3CePr7 after structural relaxation. The functional is PBE.

For the density of states at the Fermi level, the calculation gives 20.20 states/eV/f.u. The magnetization is 1.14 μB/f.u. The formation energy from the elements comes out at 0.220 eV/atom. The value obtained for the calculated density is 6339 kg/m3.

It has space group C2/m (No. 12), with a = 13.035 Å, b = 11.624 Å, c = 6.008 Å, α = 90.00°, β = 117.35° and γ = 90.00°. The distinct sites, in fractional coordinates, are La at (0.000, 0.000, 0.000), La at (0.000, 0.210, 0.500), Ce at (0.000, 0.500, 0.000), Pr at (0.000, 0.500, 0.500), Pr at (0.201, 0.202, 0.201) and Pr at (0.213, 0.000, 0.713).